The following is a DFT calculation (PBE-GGA) of crystalline TeRhW2 at its relaxed geometry.

The structure in POSCAR format:
```
TeRhW2
1.0
2.6517 -4.3295 0.0000
2.6517 4.3295 0.0000
0.0000 0.0000 2.9724
Te Rh W
1 1 2
Direct
0.5000 0.5000 0.5000
0.0000 0.0000 0.5000
0.5000 0.0000 0.0000
0.0000 0.5000 0.0000
```

Summary:
* raw formation energy: 14.05 kcal/mol of atoms